Entry 1:
An optimized crystal structure of Pm4PrEr6, computed with GGA-PBE.

Volume   375.4 Å³ per cell
VASP energy   -47.71 eV per cell
ΔH_f (0 K)   0.313 eV/atom

abc: 9.698 9.698 9.698
angles: 139.88 139.88 58.04
Sites, in units of the cell vectors:
Pm  0.135  0.135  0.620
Pm  0.486  0.865  0.000
Pm  0.514  0.514  0.380
Pm  0.865  0.486  0.000
Pr  0.500  0.500  0.000
Er  0.000  0.500  0.500
Er  0.053  0.696  0.000
Er  0.304  0.304  0.356
Er  0.500  0.000  0.500
Er  0.696  0.053  0.000
Er  0.947  0.947  0.644


Entry 2:
An optimized crystal structure of K2LaBr, computed with GGA-PBE.

ΔE to the lowest computed polymorph   518 meV/atom
Volume   353.6 Å³ per cell
Formation energy (no corrections)   -39 meV/atom
VASP energy   -17.90 eV per cell

abc: 5.128 5.128 13.446
angles: 90.00 90.00 90.00
Sites, in units of the cell vectors:
K  0.000  0.000  0.000
K  0.000  0.500  0.250
K  0.500  0.000  0.750
K  0.500  0.500  0.500
La  0.000  0.500  0.750
La  0.500  0.000  0.250
Br  0.000  0.000  0.500
Br  0.500  0.500  0.000


Entry 3:
An optimized crystal structure of USiHPd, computed with GGA-PBE.

Volume   59.8 Å³ per cell
VASP energy   -26.83 eV per cell

abc: 4.226 4.226 3.869
angles: 90.00 90.00 120.00
Sites, in units of the cell vectors:
U  0.000  0.000  0.000
Si  0.333  0.667  0.500
H  0.667  0.333  0.000
Pd  0.667  0.333  0.500


Entry 4:
An optimized crystal structure of KNa2Hf, computed with GGA-PBE.

ΔE to the lowest computed polymorph   367 meV/atom
Volume   567.8 Å³ per cell
VASP energy   -38.79 eV per cell
ΔH_f (0 K)   0.998 eV/atom

abc: 8.281 8.281 8.281
angles: 90.00 90.00 90.00
Sites, in units of the cell vectors:
K  0.000  0.000  0.000
K  0.000  0.500  0.500
K  0.500  0.000  0.500
K  0.500  0.500  0.000
Na  0.250  0.250  0.250
Na  0.250  0.250  0.750
Na  0.250  0.750  0.250
Na  0.250  0.750  0.750
Na  0.750  0.250  0.250
Na  0.750  0.250  0.750
Na  0.750  0.750  0.250
Na  0.750  0.750  0.750
Hf  0.000  0.000  0.500
Hf  0.000  0.500  0.000
Hf  0.500  0.000  0.000
Hf  0.500  0.500  0.500


Entry 5:
An optimized crystal structure of Sb2PAu, computed with GGA-PBE.

Volume   277.4 Å³ per cell
Formation energy (no corrections)   110 meV/atom
VASP energy   -49.47 eV per cell

abc: 3.840 3.840 21.719
angles: 90.00 90.00 120.00
Sites, in units of the cell vectors:
Sb  0.000  0.000  0.000
Sb  0.000  0.000  0.175
Sb  0.333  0.667  0.667
Sb  0.333  0.667  0.841
Sb  0.667  0.333  0.333
Sb  0.667  0.333  0.508
P  0.000  0.000  0.590
P  0.333  0.667  0.257
P  0.667  0.333  0.923
Au  0.000  0.000  0.420
Au  0.333  0.667  0.086
Au  0.667  0.333  0.753


Entry 6:
An optimized crystal structure of Tb9PmEr2, computed with GGA-PBE.

ΔE to the lowest computed polymorph   0 meV/atom
Volume   382.4 Å³ per cell
VASP energy   -55.31 eV per cell
ΔH_f (0 K)   0.020 eV/atom

abc: 5.032 5.032 15.101
angles: 90.00 90.00 90.00
Sites, in units of the cell vectors:
Tb  0.000  0.000  0.000
Tb  0.000  0.000  0.335
Tb  0.000  0.000  0.665
Tb  0.000  0.500  0.169
Tb  0.000  0.500  0.500
Tb  0.000  0.500  0.831
Tb  0.500  0.000  0.169
Tb  0.500  0.000  0.500
Tb  0.500  0.000  0.831
Pm  0.500  0.500  0.000
Er  0.500  0.500  0.334
Er  0.500  0.500  0.666


Which value of volume does entry 5 give?
277.4 Å³ per cell


Which value of volume does entry 5 give?
277.4 Å³ per cell


Copy entry 5 word for word.
An optimized crystal structure of Sb2PAu, computed with GGA-PBE.

Volume   277.4 Å³ per cell
Formation energy (no corrections)   110 meV/atom
VASP energy   -49.47 eV per cell

abc: 3.840 3.840 21.719
angles: 90.00 90.00 120.00
Sites, in units of the cell vectors:
Sb  0.000  0.000  0.000
Sb  0.000  0.000  0.175
Sb  0.333  0.667  0.667
Sb  0.333  0.667  0.841
Sb  0.667  0.333  0.333
Sb  0.667  0.333  0.508
P  0.000  0.000  0.590
P  0.333  0.667  0.257
P  0.667  0.333  0.923
Au  0.000  0.000  0.420
Au  0.333  0.667  0.086
Au  0.667  0.333  0.753